Record 1
Here is a relaxed structure of Tb2Ga3Hg from Alexandria. Energies are from PBE.

The energy above the lowest structure with this stoichiometry comes out at 0.024 eV/atom. The calculation puts the total energy at -3.6432 eV/atom.

extended XYZ file:
```
6
Lattice="0.227 -3.355 2.144 4.358 0.477 0.285 -3.168 5.543 5.300" Properties=species:S:1:pos:R:3 pbc="T T T"
Ga 1.668 2.638 3.950
Ga 1.935 0.241 3.881
Ga 2.211 -1.055 1.824
Tb -0.513 1.265 5.741
Tb -0.242 1.135 1.801
Hg 1.375 4.012 6.131
```



Record 2
Here is a relaxed structure of BeSi2W from Alexandria. Energies are from PBE.

The calculation puts the total energy at -6.6493 eV/atom.

extended XYZ file:
```
4
Lattice="3.487 0.000 0.000 0.000 3.487 0.000 0.000 0.000 4.123" Properties=species:S:1:pos:R:3 pbc="T T T"
Si 0.000 0.000 0.000
Si 1.744 1.743 0.000
W 1.744 0.000 2.062
Be 0.000 1.743 2.062
```



Record 3
Here is a relaxed structure of ZnIrRu2 from Alexandria. Energies are from PBE.

The calculation puts the total energy at -7.1322 eV/atom.

extended XYZ file:
```
4
Lattice="-0.323 6.589 5.913 -0.555 4.464 7.632 1.925 5.310 6.825" Properties=species:S:1:pos:R:3 pbc="T T T"
Zn 0.524 8.184 10.188
Ir 0.785 12.266 15.269
Ru 0.263 4.114 5.121
Ru 1.046 16.344 20.346
```



Record 4
Here is a relaxed structure of VZn3In from Alexandria. Energies are from PBE.

The energy above the lowest structure with this stoichiometry comes out at 0.000 eV/atom. The calculation puts the total energy at -2.4376 eV/atom.

extended XYZ file:
```
5
Lattice="4.985 0.000 0.000 0.000 4.985 0.000 0.000 0.000 4.985" Properties=species:S:1:pos:R:3 pbc="T T T"
Zn 0.000 0.000 2.493
Zn 0.000 2.493 0.000
Zn 2.493 0.000 0.000
V 0.000 0.000 0.000
In 2.493 2.493 2.493
```



Question: Which formula does entry 4 have?
Answer: VZn3In